Y2AlTc | the Alexandria database | GGA-PBE | relaxed; symmetry = No. 119; calculated formation energy = 0 kJ per mole of atoms; theoretical density = 5.9 g/cm3
1.0
-2.226 2.226 4.272
2.226 -2.226 4.272
2.226 2.226 -4.272
Y Al Tc
2 1 1
direct
0.000 0.000 0.000
0.750 0.250 0.500
0.250 0.750 0.500
0.500 0.500 0.000